Here is crystalline PmLuTlBi at its relaxed geometry from Alexandria via LeMat-Bulk. Energies are from PBE-GGA.

a b c (Å): 5.4675 5.4675 5.4675
angles (deg): 60.00 60.00 60.00
Atoms (fractional coordinates):
Tl1 0.0000 0.0000 0.0000
Lu1 0.7500 0.7500 0.7500
Bi1 0.5000 0.5000 0.5000
Pm1 0.2500 0.2500 0.2500

Output
Total magnetization (μB/f.u.): 0.00
E_form (eV/f.u.): -1.54
Volume (Å³/cell): 115.6